Cd2PCl (PBE, relaxed); energy above the most stable polymorph in this dataset = 408 meV per atom
1.0
5.3872 -0.0216 0.1052
-0.1926 5.3838 -0.1052
-1.2662 -3.9707 3.4153
Cd P Cl
2 1 1
direct
0.0168 0.0168 0.0000 Cd
0.4832 0.4832 0.0000 Cd
0.2500 0.7500 0.5000 P
0.7500 0.2500 0.5000 Cl

=====

CdP3Cl (PBE, relaxed); energy above the most stable polymorph in this dataset = 119 meV per atom
1.0
-0.2206 -2.9640 4.1167
-4.0520 -2.3761 -1.9279
3.0519 -3.3690 -2.2622
P Cl Cd
3 1 1
direct
0.5000 0.0000 0.0000 P
0.0000 0.5000 0.0000 P
0.0000 0.0000 0.5000 P
0.5000 0.5000 0.5000 Cl
0.0000 0.0000 0.0000 Cd

=====

Cd4P2Cl5 (PBE, relaxed); energy above the most stable polymorph in this dataset = 0 meV per atom
1.0
3.8119 0.0004 -0.8399
-0.2809 8.5492 -1.2762
0.1680 0.9988 9.8363
Cd Cl P
4 5 2
direct
0.6644 0.5455 0.3281 Cd
0.0046 0.7619 0.0097 Cd
0.9954 0.2381 0.9903 Cd
0.3356 0.4545 0.6719 Cd
0.7939 0.6501 0.5880 Cl
0.1390 0.7605 0.2773 Cl
0.2061 0.3499 0.4120 Cl
0.5000 0.0000 0.0000 Cl
0.8610 0.2395 0.7227 Cl
0.4616 0.5831 0.9235 P
0.5384 0.4169 0.0765 P

=====

A plane-wave DFT calculation with PBE was carried out for crystalline CdP2Cl4 at its relaxed geometry.

POSCAR file:
```
CdP2Cl4
1.0
-1.2400 -2.5354 -2.9149
3.2501 -3.2444 1.4394
-14.5555 -8.5387 13.6186
P Cd Cl
4 2 8
direct
0.5000 0.1797 0.2607 P
0.5000 0.6797 0.2393 P
0.5000 0.8203 0.7393 P
0.5000 0.3203 0.7607 P
0.0000 0.5000 0.5000 Cd
0.0000 0.0000 0.0000 Cd
0.0000 0.3206 0.8073 Cl
0.0000 0.1794 0.3073 Cl
0.0000 0.8206 0.6927 Cl
0.5000 0.2985 0.5623 Cl
0.5000 0.7015 0.4377 Cl
0.5000 0.2015 0.0623 Cl
0.0000 0.6794 0.1927 Cl
0.5000 0.7985 0.9377 Cl
```

=====

Cd4P2Cl3 (PBE, relaxed); energy above the most stable polymorph in this dataset = 0 meV per atom
1.0
12.3798 0.0000 0.0000
0.0000 12.3798 0.0000
0.0000 0.0000 12.3798
Cd Cl P
32 24 16
direct
0.9699 0.4881 0.2500 Cd
0.4699 0.4881 0.2500 Cd
0.2500 0.4699 0.4881 Cd
0.9881 0.2500 0.0301 Cd
0.4881 0.2500 0.4699 Cd
0.5301 0.5119 0.7500 Cd
0.4699 0.0119 0.7500 Cd
0.7500 0.5301 0.5119 Cd
0.5119 0.7500 0.5301 Cd
0.2239 0.2761 0.7239 Cd
0.7500 0.9699 0.0119 Cd
0.7761 0.7239 0.2761 Cd
0.0301 0.9881 0.2500 Cd
0.7500 0.4699 0.0119 Cd
0.4881 0.2500 0.9699 Cd
0.0301 0.5119 0.7500 Cd
0.7239 0.2239 0.2761 Cd
0.7761 0.7761 0.7761 Cd
0.7239 0.2761 0.7761 Cd
0.2239 0.2239 0.2239 Cd
0.2500 0.9699 0.4881 Cd
0.7500 0.0301 0.5119 Cd
0.0119 0.7500 0.4699 Cd
0.9699 0.0119 0.7500 Cd
0.9881 0.2500 0.5301 Cd
0.2761 0.7239 0.2239 Cd
0.2500 0.0301 0.9881 Cd
0.5301 0.9881 0.2500 Cd
0.2500 0.5301 0.9881 Cd
0.5119 0.7500 0.0301 Cd
0.0119 0.7500 0.9699 Cd
0.2761 0.7761 0.7239 Cd
0.8176 0.9278 0.2273 Cl
0.0722 0.7727 0.1824 Cl
0.4278 0.2273 0.6824 Cl
0.4278 0.2727 0.1824 Cl
0.2273 0.6824 0.4278 Cl
0.7273 0.6824 0.0722 Cl
0.9278 0.2273 0.8176 Cl
0.2727 0.1824 0.4278 Cl
0.7727 0.1824 0.0722 Cl
0.6824 0.4278 0.2273 Cl
0.2727 0.3176 0.9278 Cl
0.1824 0.4278 0.2727 Cl
0.1824 0.0722 0.7727 Cl
0.2273 0.8176 0.9278 Cl
0.8176 0.5722 0.7273 Cl
0.5722 0.7727 0.3176 Cl
0.9278 0.2727 0.3176 Cl
0.3176 0.9278 0.2727 Cl
0.6824 0.0722 0.7273 Cl
0.0722 0.7273 0.6824 Cl
0.7273 0.8176 0.5722 Cl
0.7727 0.3176 0.5722 Cl
0.3176 0.5722 0.7727 Cl
0.5722 0.7273 0.8176 Cl
0.4490 0.0510 0.9490 P
0.4490 0.4490 0.4490 P
0.5510 0.5510 0.5510 P
0.1076 0.1076 0.1076 P
0.0510 0.5510 0.9490 P
0.3924 0.6076 0.1076 P
0.1076 0.3924 0.6076 P
0.5510 0.9490 0.0510 P
0.9490 0.0510 0.5510 P
0.8924 0.8924 0.8924 P
0.3924 0.8924 0.6076 P
0.8924 0.6076 0.3924 P
0.0510 0.9490 0.4490 P
0.9490 0.4490 0.0510 P
0.6076 0.3924 0.8924 P
0.6076 0.1076 0.3924 P

=====

Cd2PCl (PBE, relaxed); energy above the most stable polymorph in this dataset = 165 meV per atom
1.0
-0.9398 -1.8953 -3.4484
2.8301 -2.0935 -1.9938
-1.0460 -6.9971 1.7577
P Cd Cl
1 2 1
direct
0.6666 0.6666 0.0002 P
0.2776 0.2776 0.1673 Cd
0.0710 0.0710 0.7871 Cd
0.4849 0.4849 0.5454 Cl

=====

Number 1: formation energy (no corrections) -14 kJ/mol of formula units, total moment 0.00 Bohr magnetons per cell. Number 2: formation energy (no corrections) 661 kJ/mol of formula units, total moment 3.00 Bohr magnetons per cell. Number 3: formation energy (no corrections) -746 kJ/mol of formula units, total moment 0.00 Bohr magnetons per cell. Number 4: formation energy (no corrections) -162 kJ/mol of formula units, total moment 0.00 Bohr magnetons per cell. Number 5: formation energy (no corrections) -530 kJ/mol of formula units, total moment 0.00 Bohr magnetons per cell. Number 6: formation energy (no corrections) -108 kJ/mol of formula units, total moment 0.00 Bohr magnetons per cell.